(1)
Material: CsNbOs3
Method: DFT, GGA-PBE
State: relaxed

Summary:
Formation enthalpy at 0 K, eV per atom: 3.847
E_tot, eV/atom: -5.076

Lattice parameters (Å, degrees): 4.8269 4.8269 4.8269 90.00 90.00 90.00
Last column: nearest neighbours and their distance in Å.
Fractional positions:
Os  0.5000  0.0000  0.0000  2 Cs 2.41
Nb  0.5000  0.5000  0.5000  12 Os 3.41
Cs  0.0000  0.0000  0.0000  6 Os 2.41
Os  0.0000  0.0000  0.5000  2 Cs 2.41
Os  0.0000  0.5000  0.0000  2 Cs 2.41



(2)
Material: Cs2NbOs
Method: DFT, GGA-PBE
State: relaxed

Summary:
Formation enthalpy at 0 K, eV per atom: 1.459
E_tot, eV/atom: -4.293
Energy above the most stable polymorph in this dataset, meV/atom: 0

Lattice parameters (Å, degrees): 10.1953 10.1953 10.1953 93.02 93.02 153.47
Last column: nearest neighbours and their distance in Å.
Fractional positions:
Cs  0.6815  0.3750  0.8065  2 Nb 3.64, 2 Os 4.00
Cs  0.6250  0.4315  0.3065  2 Nb 3.64, 2 Os 4.00
Nb  0.7500  0.2500  0.5000  2 Os 2.34
Os  0.0000  0.0000  0.0000  2 Nb 2.34
Cs  0.5685  0.8750  0.1935  2 Nb 3.64, 2 Os 4.00
Cs  0.1250  0.3185  0.6935  2 Nb 3.64, 2 Os 4.00
Nb  0.5000  0.5000  0.0000  2 Os 2.34
Os  0.2500  0.7500  0.5000  2 Nb 2.34



(3)
Material: CsNb3Os
Method: DFT, GGA-PBE
State: relaxed

Summary:
Formation enthalpy at 0 K, eV per atom: 3.239
E_tot, eV/atom: -5.220

Lattice parameters (Å, degrees): 4.9156 4.9156 4.9156 90.00 90.00 90.00
Last column: nearest neighbours and their distance in Å.
Fractional positions:
Nb  0.0000  0.5000  0.0000  2 Cs 2.46
Nb  0.0000  0.0000  0.5000  2 Cs 2.46
Os  0.5000  0.5000  0.5000  12 Nb 3.48
Cs  0.0000  0.0000  0.0000  6 Nb 2.46
Nb  0.5000  0.0000  0.0000  2 Cs 2.46